Below is crystalline Ta2BeAl at its relaxed geometry, with properties calculated at the PBE-GGA level.

Its formation energy from the elements is -14.6 kJ/mol of formula units.

The structure belongs to space group C2/m (No. 12); the cell edges are 5.605, 7.765 and 2.834 Å and the angles 90.00°, 91.00° and 90.00°. The asymmetric unit holds Ta at (0.250, 0.250, 0.000), Be at (0.000, 0.000, 0.500) and Al at (0.000, 0.500, 0.500).

Below is crystalline Si2SbRu at its relaxed geometry, with properties calculated at the PBE-GGA level.

The structure belongs to space group Immm (No. 71); the cell edges are 2.964, 4.450 and 10.746 Å and the angles 90.00°, 90.00° and 90.00°. The asymmetric unit holds Si at (0.000, 0.000, 0.202), Sb at (0.000, 0.500, 0.000) and Ru at (0.000, 0.500, 0.500).

Below is crystalline Rb2H3N at its relaxed geometry, with properties calculated at the PBE-GGA level.

The structure belongs to space group Fmmm (No. 69); the cell edges are 7.466, 8.219 and 15.978 Å and the angles 90.00°, 90.00° and 90.00°. The asymmetric unit holds Rb at (0.000, 0.236, 0.000), Rb at (0.250, 0.250, 0.250), H at (0.000, 0.000, 0.118), H at (0.110, 0.000, 0.390) and N at (0.000, 0.000, 0.351).

Below is crystalline PmCdHg5 at its relaxed geometry, with properties calculated at the PBE-GGA level.

Its formation energy from the elements is -149.0 kJ/mol of formula units.

The structure belongs to space group P4/mmm (No. 123); the cell edges are 4.943, 4.943 and 7.433 Å and the angles 90.00°, 90.00° and 90.00°. The asymmetric unit holds Pm at (0.000, 0.000, 0.000), Cd at (0.000, 0.000, 0.500), Hg at (0.000, 0.500, 0.281) and Hg at (0.500, 0.500, 0.000).

Below is crystalline Pr4Nd3Dy at its relaxed geometry, with properties calculated at the PBE-GGA level.

Its formation energy from the elements is 1.2 kJ/mol of formula units.

The structure belongs to space group Pmn2_1 (No. 31); the cell edges are 11.918, 6.401 and 7.390 Å and the angles 90.00°, 90.00° and 90.00°. The asymmetric unit holds Pr at (0.000, 0.168, 0.000), Pr at (0.000, 0.668, 0.251), Pr at (0.248, 0.498, 0.500), Nd at (0.000, 0.668, 0.749), Nd at (0.250, 0.000, 0.250) and Dy at (0.000, 0.167, 0.500).

| no. | final energy (eV per atom) |
| --- | --- |
| 1 | -7.83 |
| 2 | -5.73 |
| 3 | -3.58 |
| 4 | -1.25 |
| 5 | -4.75 |